A geometry-optimized Tb2Cu3Ni structure. Source: the Alexandria database, functional PBE-GGA.

POSCAR file:
```
Tb2Cu3Ni
1.0
-3.360 0.640 1.172
-1.481 -2.875 -2.674
0.789 -5.109 5.055
Cu Tb Ni
3 2 1
direct
0.500 0.500 0.665
0.500 0.000 0.833
0.500 0.000 0.168
0.000 0.000 0.492
0.000 0.500 0.011
0.500 0.500 0.332
```

* uncorrected energy: -29.0 eV/cell
* crystal system: orthorhombic
* symmetry: Pmm2